# TiCrGe2O8

A geometry-optimized TiCrGe2O8 structure (GGA+U, the Alexandria database).

```
TiCrGe2O8
1.0
-3.1766 3.1766 3.2023
3.1766 -3.1766 3.2023
3.1766 3.1766 -3.2023
Ti Cr Ge O
1 1 2 8
Direct
0.0000 0.0000 0.0000
0.2500 0.7500 0.5000
0.5000 0.5000 0.0000
0.7500 0.2500 0.5000
0.2994 0.1040 0.8046
0.2994 0.4948 0.1954
0.3623 0.0618 0.3005
0.5052 0.7006 0.8046
0.7613 0.0618 0.6995
0.8960 0.7006 0.1954
0.9382 0.2387 0.3005
0.9382 0.6377 0.6995
```

## Properties
space-group type = No. 119
M_tot = 2.0 Bohr magnetons per cell
E = -0.5189 Ry per atom